A relaxed structure of ScMoOs2F. Source: the Alexandria database, functional PBE with a Hubbard U.

Properties
E = -5.401 eV per atom
spin magnetization = 5.80 μB/cell

The structure in POSCAR format:
```
ScMoOs2F
1.0
4.6323 0.0000 0.0000
0.0000 4.6323 0.0000
0.0000 0.0000 5.6364
Sc Mo Os F
1 1 2 1
Direct
0.0000 0.0000 0.0000
0.0000 0.0000 0.5000
0.0000 0.5000 0.0000
0.5000 0.0000 0.0000
0.5000 0.5000 0.5000
```